Entry 1:
YSn3Se2ClO8 PBE relaxed; crystal system = orthorhombic; total energy = -5.723 eV/atom; spin magnetization = 0.0 Bohr magnetons per cell; formation energy (no corrections) = -121.5 kJ per mole of atoms
1.0
-1.9233 2.3178 6.6313
-0.7312 -7.1343 2.2816
10.0401 -0.0880 2.9427
Cl O Sn Y Se
2 16 6 2 4
Cartesian
4.9350 -0.8736 1.7367
-1.6078 -5.1458 5.3319
7.6303 -1.4478 5.2211
0.0563 -0.5199 5.6953
5.7370 -4.6595 4.7902
0.7765 -1.3878 3.2123
2.5507 -4.6316 3.8563
4.6412 -5.5087 7.2712
8.7261 -0.5987 2.7401
2.1201 -5.4866 6.5322
8.1637 -4.0249 3.7746
2.2605 -2.0567 5.3741
1.2071 -0.5328 0.5363
5.2035 -2.0825 6.2367
6.9101 -0.5799 7.7041
1.0667 -3.9627 1.6945
4.5339 -3.2096 8.9385
1.3476 -3.1817 8.0046
1.0676 1.7164 5.7092
6.0876 1.6724 7.1805
2.0292 0.5575 2.3935
-0.6161 -6.0113 1.9224
7.0493 0.5135 3.8649
3.9433 -0.0081 5.1461
-0.2349 -2.2922 0.7330
3.5621 -3.7272 6.3355
6.4694 -4.1113 3.3133
6.8979 -1.9961 6.6979
2.7403 -4.0786 2.2204
0.5869 -1.9408 4.8482



Entry 2:
SrSeClO4 PBE relaxed; crystal system = monoclinic; total energy = -5.219 eV/atom; spin magnetization = 0.0 Bohr magnetons per cell; formation energy (no corrections) = -133.5 kJ per mole of atoms
1.0
-6.8440 -0.9519 0.0077
-3.3390 -2.6151 -5.4552
-0.1842 -6.8921 1.9801
O Sr Cl Se
8 2 2 2
Cartesian
-2.6463 -2.3642 -2.5918
-7.7209 -8.0949 -0.8755
-7.3641 -6.1971 -2.8381
-3.0031 -4.2620 -0.6293
-5.2559 -6.9359 -1.2606
-4.0228 -1.7110 -0.4464
-6.3444 -8.7481 -3.0210
-5.1113 -3.5232 -2.2068
-7.1807 -3.8117 -3.4467
-3.1865 -6.6474 -0.0207
-0.1519 -2.5092 0.6665
-10.2152 -7.9499 -4.1338
-3.7190 -3.0249 -1.4652
-6.6482 -7.4342 -2.0022